(1)
First-principles (GGA-PBE) data for a relaxed structure of BaTlTc2, as listed in the Alexandria database.

Cell lengths 4.2287, 4.2287, 7.4342 Å; angles 73.49, 73.49, 59.97 degrees
Fractional positions:
Tl (0.4683, 0.4683, 0.5953)
Tc (0.7252, 0.7252, 0.8243)
Tc (0.0447, 0.0447, 0.8660)
Ba (0.2618, 0.2618, 0.2145)

The volume is 27.2 A^3/atom. Its energy above the most stable polymorph in this dataset is 0 meV per atom. Its formation energy is 0.311 eV/atom. As for the symmetry: R3m, No. 160.



(2)
First-principles (GGA-PBE) data for a relaxed structure of NdTmPbSe, as listed in the Alexandria database.

Cell lengths 4.3710, 4.3704, 6.0601 Å; angles 90.00, 90.00, 90.00 degrees
Fractional positions:
Tm (0.5000, 0.3911, 0.0927)
Se (0.0000, 0.8915, 0.0922)
Nd (0.0000, 0.8917, 0.5921)
Pb (0.5000, 0.3917, 0.5927)

The volume is 28.9 A^3/atom. As for the symmetry: P4/mmm, No. 123. As for the raw formation energy: -24.7 kcal/mol of atoms.



(3)
First-principles (GGA-PBE) data for a relaxed structure of BePOs2, as listed in the Alexandria database.

Cell lengths 4.7886, 4.7886, 4.7886 Å; angles 145.39, 121.14, 70.11 degrees
Fractional positions:
P (0.7500, 0.2500, 0.5000)
Be (0.2500, 0.7500, 0.5000)
Os (0.5210, 0.5210, 0.0000)
Os (0.9790, 0.9790, 0.0000)

The volume is 13.1 A^3/atom. Its formation energy is 0.238 eV/atom. As for the symmetry: Immm, No. 71.



(4)
First-principles (GGA-PBE) data for a relaxed structure of Cs2BaB2S6, as listed in the Alexandria database.

Cell lengths 6.3681, 6.8090, 10.2736 Å; angles 113.13, 90.00, 117.88 degrees
Fractional positions:
S (0.7353, 0.9510, 0.2261)
S (0.7843, 0.0490, 0.7739)
S (0.2647, 0.0490, 0.7739)
S (0.7898, 0.5796, 0.5360)
S (0.2102, 0.4204, 0.4640)
S (0.2157, 0.9510, 0.2261)
B (0.0579, 0.1158, 0.3074)
B (0.9421, 0.8842, 0.6926)
Cs (0.3107, 0.6214, 0.8606)
Cs (0.6893, 0.3786, 0.1394)
Ba (0.5000, 0.0000, 0.5000)

The volume is 32.1 A^3/atom. As for the symmetry: C2/m, No. 12. As for the raw formation energy: -20.3 kcal/mol of atoms.



(5)
First-principles (GGA-PBE) data for a relaxed structure of Er2In2Hg7, as listed in the Alexandria database.

Cell lengths 4.7266, 9.2545, 9.2545 Å; angles 45.04, 75.20, 75.20 degrees
Fractional positions:
Er (0.7097, 0.9175, 0.6631)
Er (0.2903, 0.3369, 0.0825)
In (0.0000, 0.6277, 0.3723)
In (0.5000, 0.3164, 0.6836)
Hg (0.1359, 0.7717, 0.9564)
Hg (0.5000, 0.9133, 0.0867)
Hg (0.6649, 0.4578, 0.2124)
Hg (0.8641, 0.0436, 0.2283)
Hg (0.8666, 0.4741, 0.7927)
Hg (0.1334, 0.2073, 0.5259)
Hg (0.3351, 0.7876, 0.5422)

The volume is 25.0 A^3/atom. Its formation energy is -0.198 eV/atom. As for the symmetry: Imm2, No. 44.



(6)
First-principles (GGA-PBE) data for a relaxed structure of CuBi3Pd, as listed in the Alexandria database.

Cell lengths 5.1842, 5.1842, 5.1842 Å; angles 90.00, 90.00, 90.00 degrees
Fractional positions:
Bi (0.5000, 0.0000, 0.0000)
Bi (0.0000, 0.5000, 0.0000)
Bi (0.0000, 0.0000, 0.5000)
Pd (0.5000, 0.5000, 0.5000)
Cu (0.0000, 0.0000, 0.0000)

The volume is 27.9 A^3/atom. Its energy above the most stable polymorph in this dataset is 0 meV per atom. Its formation energy is 0.511 eV/atom. As for the symmetry: Pm-3m, No. 221.



(7)
First-principles (GGA-PBE) data for a relaxed structure of TmTl3In3I8, as listed in the Alexandria database.

Cell lengths 9.9923, 10.0402, 9.9756 Å; angles 120.54, 90.00, 119.84 degrees
Fractional positions:
In (0.0000, 0.5000, 0.5000)
In (0.5000, 0.0000, 0.5000)
In (0.5000, 0.5000, 0.5000)
I (0.2162, 0.0018, 0.2878)
I (0.7858, 0.5716, 0.2875)
I (0.7486, 0.4971, 0.7452)
I (0.7838, 0.9982, 0.7122)
I (0.7856, 0.0018, 0.2878)
I (0.2144, 0.9982, 0.7122)
I (0.2514, 0.5029, 0.2548)
I (0.2142, 0.4284, 0.7125)
Tl (0.0000, 0.5000, 0.0000)
Tl (0.0000, 0.0000, 0.0000)
Tl (0.5000, 0.5000, 0.0000)
Tm (0.0000, 0.0000, 0.5000)

The volume is 46.9 A^3/atom. As for the symmetry: C2/m, No. 12. As for the raw formation energy: -15.3 kcal/mol of atoms.



(8)
First-principles (GGA-PBE) data for a relaxed structure of AcZnSi2, as listed in the Alexandria database.

Cell lengths 4.3456, 4.8855, 4.8855 Å; angles 106.17, 90.00, 90.00 degrees
Fractional positions:
Si (0.5000, 0.1068, 0.4985)
Si (0.5000, 0.5015, 0.8932)
Ac (0.0000, 0.0161, 0.9839)
Zn (0.5000, 0.5907, 0.4093)

The volume is 24.9 A^3/atom. Its energy above the most stable polymorph in this dataset is 211 meV per atom. As for the symmetry: Amm2, No. 38. As for the raw formation energy: -4.7 kcal/mol of atoms.



(9)
First-principles (GGA-PBE) data for a relaxed structure of DyMg2In9, as listed in the Alexandria database.

Cell lengths 4.6413, 4.6413, 13.8956 Å; angles 90.00, 90.00, 90.00 degrees
Fractional positions:
In (0.5000, 0.5000, 0.3332)
In (0.5000, 0.0000, 0.5000)
In (0.5000, 0.0000, 0.1705)
In (0.5000, 0.0000, 0.8295)
In (0.0000, 0.5000, 0.5000)
In (0.5000, 0.5000, 0.6668)
In (0.0000, 0.5000, 0.1705)
In (0.0000, 0.5000, 0.8295)
In (0.5000, 0.5000, 0.0000)
Mg (0.0000, 0.0000, 0.6695)
Mg (0.0000, 0.0000, 0.3305)
Dy (0.0000, 0.0000, 0.0000)

The volume is 24.9 A^3/atom. Its formation energy is -0.147 eV/atom. As for the symmetry: P4/mmm, No. 123.



(10)
First-principles (GGA-PBE) data for a relaxed structure of Ca3PtAu, as listed in the Alexandria database.

Cell lengths 5.4464, 5.4464, 5.4464 Å; angles 90.00, 90.00, 90.00 degrees
Fractional positions:
Ca (0.0000, 0.0000, 0.5000)
Ca (0.5000, 0.0000, 0.0000)
Ca (0.0000, 0.5000, 0.0000)
Au (0.5000, 0.5000, 0.5000)
Pt (0.0000, 0.0000, 0.0000)

The volume is 32.3 A^3/atom. Its energy above the most stable polymorph in this dataset is 274 meV per atom. Its formation energy is -0.501 eV/atom. As for the symmetry: Pm-3m, No. 221.



Computed values of uncorrected energy (unit: Ry/atom) for the preceding records, in sequence: -0.43690, -0.38071, -0.56304, -0.34364, -0.12626, -0.27011, -0.20638, -0.31324, -0.20951, -0.26204.
Computed values of M_tot (unit: Bohr magnetons per cell) for the preceding records, in sequence: 0.000, 0.000, 0.000, 0.000, 0.000, 0.000, 0.000, 0.000, 0.000, 0.000.